Compound: CaZrRePb2
Source: Alexandria via LeMat-Bulk
Functional: PBE-GGA
Structure: relaxed

Summary:
**Energy of formation from the pure elements**: 11.231 eV/f.u.
**Magnetic moment**: 0.0 μB/cell

Unit cell a=5.407 b=5.407 c=4.981 alpha=90.00 beta=90.00 gamma=90.00
Fractional positions:
1 Ca 0.000 0.000 0.000
2 Zr 0.000 0.000 0.500
3 Re 0.500 0.500 0.500
4 Pb 0.000 0.500 0.000
5 Pb 0.500 0.000 0.000